First-principles (GGA-PBE) data for a relaxed structure of SmTePt, as listed in Alexandria.

a b c (Å): 4.509 4.509 4.149
angles (deg): 90.00 90.00 120.00
Sites, in units of the cell vectors:
Sm: 0.000 0.000 0.000
Te: 0.333 0.667 0.475
Pt: 0.667 0.333 0.599

Results
Total moment, Bohr magnetons per cell: 0.00
Volume, Å³/atom: 24.35
Uncorrected formation energy, kJ per mole of atoms: -102.0